The following is a GGA-PBE calculation of a geometry-optimized CrFe2Re structure, from Alexandria via LeMat-Bulk.

Cell: 4.1203 2.5342 4.8582 Å, 80.97 90.00 90.00°
Closest atoms and distances in Å follow each position.
Element x y z (fractional)
Cr: 0.5000 0.7425 0.7575  4 Fe 2.48-2.63, 2 Re 2.52, 2 Cr 2.53
Fe: 0.0000 0.0074 0.0036  4 Fe 2.47-2.53, 2 Cr 2.52, 2 Re 2.54-2.58
Fe: 0.5000 0.2368 0.2385  4 Fe 2.47-2.53, 2 Cr 2.48-2.63, 2 Re 2.58
Re: 0.0000 0.5133 0.5004  2 Cr 2.52, 2 Re 2.53, 4 Fe 2.54-2.58

Calculated volume = 50 Å³ per cell
Magnetization = 1.115 μB/atom
Total DFT energy (no corrections) = -0.3556 Ha/atom
ΔH_f (0 K) = 0.074 eV/atom